(1)
The following is a DFT calculation (PBE) of crystalline Nd6POs2Br3 at its relaxed geometry.

a = 7.2598 Å, b = 12.5735 Å, c = 8.0197 Å
α = 90.00°, β = 107.69°, γ = 90.00°
Space group C2/m (No. 12)
One atom of each set of equivalent atoms:
Nd1 0.2214 0.0000 0.1970
Nd2 0.2368 0.3281 0.1978
P1 0.0000 0.5000 0.0000
Os1 0.0000 0.1671 0.0000
Br1 0.0000 0.0000 0.5000
Br2 0.0000 0.3366 0.5000

* formation energy without anion corrections: -90 kJ/mol of atoms
* final energy: -6.062 eV per atom
* magnetization: 0.00 μB per cell


(2)
The following is a DFT calculation (PBE) of crystalline Nd4OsPdBr2 at its relaxed geometry.

a = 7.1911 Å, b = 4.1806 Å, c = 8.1963 Å
α = 90.00°, β = 106.94°, γ = 90.00°
Space group P2/m (No. 10)
One atom of each set of equivalent atoms:
Nd1 0.2202 0.0000 0.1992
Nd2 0.2554 0.5000 0.8028
Os1 0.0000 0.5000 0.0000
Pd1 0.5000 0.0000 0.0000
Br1 0.0000 0.0000 0.5000
Br2 0.5000 0.5000 0.5000

* formation energy without anion corrections: -86 kJ/mol of atoms
* final energy: -5.742 eV per atom
* magnetization: 0.00 μB per cell


(3)
The following is a DFT calculation (PBE) of crystalline Nd8Os3PtBr4 at its relaxed geometry.

a = 8.2995 Å, b = 8.2995 Å, c = 23.4735 Å
α = 90.00°, β = 90.00°, γ = 120.00°
Space group R-3m (No. 166, hexagonal axes)
One atom of each set of equivalent atoms:
Nd1 0.0000 0.0000 0.2330
Nd2 0.0111 0.5056 0.7678
Os1 0.0000 0.5000 0.5000
Pt1 0.0000 0.0000 0.5000
Br1 0.0000 0.0000 0.0000
Br2 0.0000 0.5000 0.0000

* formation energy without anion corrections: -79 kJ/mol of atoms
* final energy: -6.103 eV per atom
* magnetization: 0.00 μB per cell


(4)
The following is a DFT calculation (PBE) of crystalline Nd8OsRh3Br4 at its relaxed geometry.

a = 8.2338 Å, b = 8.2338 Å, c = 23.5909 Å
α = 90.00°, β = 90.00°, γ = 120.00°
Space group R-3m (No. 166, hexagonal axes)
One atom of each set of equivalent atoms:
Nd1 0.0000 0.0000 0.2314
Nd2 0.0049 0.5025 0.2325
Os1 0.0000 0.0000 0.5000
Rh1 0.0000 0.5000 0.5000
Br1 0.0000 0.0000 0.0000
Br2 0.0000 0.5000 0.0000

* formation energy without anion corrections: -94 kJ/mol of atoms
* final energy: -5.862 eV per atom
* magnetization: 0.00 μB per cell


(5)
The following is a DFT calculation (PBE) of crystalline Nd6OsRu2Br3 at its relaxed geometry.

a = 7.1371 Å, b = 11.9298 Å, c = 8.3305 Å
α = 90.00°, β = 105.61°, γ = 90.00°
Space group C2/m (No. 12)
One atom of each set of equivalent atoms:
Nd1 0.2308 0.1703 0.1841
Nd2 0.2401 0.0000 0.7721
Os1 0.0000 0.0000 0.0000
Ru1 0.0000 0.3665 0.0000
Br1 0.0000 0.1758 0.5000
Br2 0.0000 0.5000 0.5000

* formation energy without anion corrections: -69 kJ/mol of atoms
* final energy: -6.002 eV per atom
* magnetization: 0.00 μB per cell


(6)
The following is a DFT calculation (PBE) of crystalline Nd6Os2RuBr3 at its relaxed geometry.

a = 7.1117 Å, b = 11.9211 Å, c = 8.3701 Å
α = 90.00°, β = 105.57°, γ = 90.00°
Space group C2/m (No. 12)
One atom of each set of equivalent atoms:
Nd1 0.2260 0.1730 0.1812
Nd2 0.2388 0.0000 0.7660
Os1 0.0000 0.3688 0.0000
Ru1 0.0000 0.0000 0.0000
Br1 0.0000 0.1779 0.5000
Br2 0.0000 0.5000 0.5000

* formation energy without anion corrections: -65 kJ/mol of atoms
* final energy: -6.126 eV per atom
* magnetization: 0.00 μB per cell


(7)
The following is a DFT calculation (PBE) of crystalline Nd4OsS2Br at its relaxed geometry.

a = 7.2688 Å, b = 4.0334 Å, c = 7.4215 Å
α = 90.00°, β = 107.25°, γ = 90.00°
Space group P2/m (No. 10)
One atom of each set of equivalent atoms:
Nd1 0.2382 0.0000 0.2148
Nd2 0.2513 0.5000 0.7695
Os1 0.5000 0.0000 0.0000
S1 0.0000 0.0000 0.5000
S2 0.0000 0.5000 0.0000
Br1 0.5000 0.5000 0.5000

* formation energy without anion corrections: -119 kJ/mol of atoms
* final energy: -6.265 eV per atom
* magnetization: 0.00 μB per cell


(8)
The following is a DFT calculation (PBE) of crystalline Nd8Os3SBr4 at its relaxed geometry.

a = 8.3555 Å, b = 8.3555 Å, c = 23.1648 Å
α = 90.00°, β = 90.00°, γ = 120.00°
Space group R-3m (No. 166, hexagonal axes)
One atom of each set of equivalent atoms:
Nd1 0.0000 0.0000 0.2336
Nd2 0.0133 0.5066 0.7685
Os1 0.0000 0.5000 0.5000
S1 0.0000 0.0000 0.5000
Br1 0.0000 0.0000 0.0000
Br2 0.0000 0.5000 0.0000

* formation energy without anion corrections: -88 kJ/mol of atoms
* final energy: -6.075 eV per atom
* magnetization: 0.00 μB per cell